This record from Alexandria via LeMat-Bulk describes a relaxed CaYEr crystal. The functional is PBE.

Cell: 6.5792 3.5245 9.1550 Å, 90.00 90.00 90.00°
Closest atoms and distances in Å follow each position.
Positions (direct):
Ca: 0.2500 0.0000 0.1417  2 Ca 3.52, 2 Er 3.67, 6 Y 3.76-3.80
Ca: 0.7500 0.0000 0.8583  2 Ca 3.52, 2 Er 3.67, 6 Y 3.76-3.80
Y: 0.2500 0.5000 0.7792  4 Er 3.51, 2 Y 3.52, 6 Ca 3.76-3.80
Y: 0.7500 0.5000 0.2208  4 Er 3.51, 2 Y 3.52, 6 Ca 3.76-3.80
Er: 0.0000 0.0000 0.5000  4 Er 3.29-3.52, 4 Y 3.51, 2 Ca 3.67
Er: 0.5000 0.0000 0.5000  4 Er 3.29-3.52, 4 Y 3.51, 2 Ca 3.67

Energy relative to the elements in eV per atom: 0.19
ΔE to the lowest computed polymorph in meV/atom: 115
VASP energy in eV/atom: -4.15
SG: Pmma (51)

***

This record from Alexandria via LeMat-Bulk describes a relaxed CaYEr2 crystal. The functional is PBE.

Cell: 5.7246 5.7246 5.7246 Å, 60.00 60.00 60.00°
Closest atoms and distances in Å follow each position.
Positions (direct):
Ca: 0.0000 0.0000 0.0000  8 Er 3.51
Y: 0.5000 0.5000 0.5000  8 Er 3.51
Er: 0.2500 0.2500 0.2500  4 Ca 3.51, 4 Y 3.51
Er: 0.7500 0.7500 0.7500  4 Y 3.51, 4 Ca 3.51

Energy relative to the elements in eV per atom: 0.19
ΔE to the lowest computed polymorph in meV/atom: 115
VASP energy in eV/atom: -4.21
SG: Fm-3m (225)

***

This record from Alexandria via LeMat-Bulk describes a relaxed CaY8Er6 crystal. The functional is PBE.

Cell: 9.4970 9.4970 6.5138 Å, 90.00 90.00 120.00°
Closest atoms and distances in Å follow each position.
Positions (direct):
Ca: 0.0000 0.0000 0.0000  6 Er 3.72, 6 Y 4.06
Y: 0.0232 0.6862 0.5959  4 Er 3.24-3.55, 5 Y 3.34-3.56
Y: 0.3138 0.3371 0.5959  4 Er 3.24-3.55, 5 Y 3.34-3.56
Y: 0.3333 0.6667 0.3393  6 Y 3.40-3.47, 3 Er 3.59
Y: 0.3371 0.0232 0.4041  4 Er 3.24-3.55, 5 Y 3.34-3.56
Y: 0.6629 0.9768 0.5959  4 Er 3.24-3.55, 5 Y 3.34-3.56
Y: 0.6667 0.3333 0.6607  6 Y 3.40-3.47, 3 Er 3.59
Y: 0.6862 0.6629 0.4041  4 Er 3.24-3.55, 5 Y 3.34-3.56
Y: 0.9768 0.3138 0.4041  4 Er 3.24-3.55, 5 Y 3.34-3.56
Er: 0.1051 0.4281 0.9063  1 Er 3.17, 4 Y 3.24-3.55
Er: 0.3230 0.8949 0.9063  1 Er 3.17, 4 Y 3.24-3.55
Er: 0.4281 0.3230 0.0937  1 Er 3.17, 4 Y 3.24-3.55
Er: 0.5719 0.6770 0.9063  1 Er 3.17, 4 Y 3.24-3.55
Er: 0.6770 0.1051 0.0937  1 Er 3.17, 4 Y 3.24-3.55
Er: 0.8949 0.5719 0.0937  1 Er 3.17, 4 Y 3.24-3.55

Energy relative to the elements in eV per atom: 0.25
VASP energy in eV/atom: -5.16
SG: P-3 (147)

***

This record from Alexandria via LeMat-Bulk describes a relaxed CaY14Er crystal. The functional is PBE.

Cell: 11.3852 7.3164 7.3164 Å, 60.03 90.00 90.00°
Closest atoms and distances in Å follow each position.
Positions (direct):
Ca: 0.0000 0.0000 0.0000  10 Y 3.58-3.66, 2 Er 3.66
Y: 0.0000 0.4998 0.9989  8 Y 3.51-3.67, 2 Er 3.64-3.67, 2 Ca 3.65-3.66
Y: 0.0000 0.9989 0.4998  8 Y 3.51-3.67, 2 Er 3.64-3.67, 2 Ca 3.65-3.66
Y: 0.2468 0.6665 0.6665  1 Er 3.51, 11 Y 3.51-3.67
Y: 0.2528 0.1691 0.6630  10 Y 3.51-3.70, 1 Er 3.56, 1 Ca 3.58
Y: 0.2528 0.6630 0.1691  10 Y 3.51-3.70, 1 Er 3.56, 1 Ca 3.58
Y: 0.2542 0.1686 0.1686  11 Y 3.50-3.70, 1 Ca 3.60
Y: 0.5000 0.0000 0.0000  12 Y 3.52-3.66
Y: 0.5000 0.0001 0.5004  12 Y 3.50-3.66
Y: 0.5000 0.5004 0.0001  12 Y 3.50-3.66
Y: 0.5000 0.5000 0.5000  12 Y 3.51-3.66
Y: 0.7458 0.1686 0.1686  11 Y 3.50-3.70, 1 Ca 3.60
Y: 0.7472 0.1691 0.6630  10 Y 3.51-3.70, 1 Er 3.56, 1 Ca 3.58
Y: 0.7472 0.6630 0.1691  10 Y 3.51-3.70, 1 Er 3.56, 1 Ca 3.58
Y: 0.7532 0.6665 0.6665  1 Er 3.51, 11 Y 3.51-3.67
Er: 0.0000 0.5006 0.5006  10 Y 3.51-3.67, 2 Ca 3.66

Energy relative to the elements in eV per atom: 0.02
VASP energy in eV/atom: -6.05
SG: Amm2 (38)

***

This record from Alexandria via LeMat-Bulk describes a relaxed CaYEr crystal. The functional is PBE.

Cell: 8.1888 8.1888 8.1888 Å, 154.37 154.37 36.56°
Closest atoms and distances in Å follow each position.
Positions (direct):
Ca: 0.0000 0.0000 0.0000  4 Ca 3.63, 4 Er 3.74, 4 Y 3.78
Y: 0.3220 0.3220 0.0000  4 Er 3.44, 4 Y 3.63, 4 Ca 3.78
Er: 0.6751 0.6751 0.0000  4 Y 3.44, 4 Er 3.63, 4 Ca 3.74

Energy relative to the elements in eV per atom: 0.08
ΔE to the lowest computed polymorph in meV/atom: 0
VASP energy in eV/atom: -4.27
SG: I4mm (107)

***

This record from Alexandria via LeMat-Bulk describes a relaxed CaYEr crystal. The functional is PBE.

Cell: 3.6097 3.6097 9.0949 Å, 90.00 90.00 120.00°
Closest atoms and distances in Å follow each position.
Positions (direct):
Ca: 0.0000 0.0000 0.0000  6 Ca 3.61, 3 Er 3.77, 3 Y 3.81
Y: 0.3333 0.6667 0.6498  3 Er 3.46, 6 Y 3.61, 3 Ca 3.81
Er: 0.6667 0.3333 0.3459  3 Y 3.46, 6 Er 3.61, 3 Ca 3.77

Energy relative to the elements in eV per atom: 0.08
ΔE to the lowest computed polymorph in meV/atom: 8
VASP energy in eV/atom: -4.26
SG: P3m1 (156)

***

What did the first record say?
This record from Alexandria via LeMat-Bulk describes a relaxed CaYEr crystal. The functional is PBE.

Cell: 6.5792 3.5245 9.1550 Å, 90.00 90.00 90.00°
Closest atoms and distances in Å follow each position.
Positions (direct):
Ca: 0.2500 0.0000 0.1417  2 Ca 3.52, 2 Er 3.67, 6 Y 3.76-3.80
Ca: 0.7500 0.0000 0.8583  2 Ca 3.52, 2 Er 3.67, 6 Y 3.76-3.80
Y: 0.2500 0.5000 0.7792  4 Er 3.51, 2 Y 3.52, 6 Ca 3.76-3.80
Y: 0.7500 0.5000 0.2208  4 Er 3.51, 2 Y 3.52, 6 Ca 3.76-3.80
Er: 0.0000 0.0000 0.5000  4 Er 3.29-3.52, 4 Y 3.51, 2 Ca 3.67
Er: 0.5000 0.0000 0.5000  4 Er 3.29-3.52, 4 Y 3.51, 2 Ca 3.67

Energy relative to the elements in eV per atom: 0.19
ΔE to the lowest computed polymorph in meV/atom: 115
VASP energy in eV/atom: -4.15
SG: Pmma (51)